NbAl2Ir | PBE | relaxed

Unit cell a=3.8342 b=4.0176 c=4.0176 alpha=90.00 beta=90.00 gamma=90.00
Last column: nearest neighbours and their distance in Å.
Positions (direct):
1 Nb 0.5000 0.0000 0.0000  8 Al 2.78, 4 Ir 2.84
2 Ir 0.5000 0.5000 0.5000  8 Al 2.78, 4 Nb 2.84
3 Al 0.0000 0.0000 0.5000  4 Nb 2.78, 4 Ir 2.78, 4 Al 2.84
4 Al 0.0000 0.5000 0.0000  4 Nb 2.78, 4 Ir 2.78, 4 Al 2.84

Calculated values
SG: P4/mmm, No. 123
ΔE_f in eV/atom: -0.517
Calculated density in g/cm³: 9.1

Nb2Al3Ir | PBE | relaxed

Unit cell a=5.2064 b=5.2064 c=8.0128 alpha=90.00 beta=90.00 gamma=120.00
Last column: nearest neighbours and their distance in Å.
Positions (direct):
1 Nb 0.6667 0.3333 0.9269  1 Nb 2.83, 9 Al 2.96-2.98, 3 Ir 3.06
2 Nb 0.3333 0.6667 0.4269  1 Nb 2.83, 9 Al 2.96-2.98, 3 Ir 3.06
3 Nb 0.6667 0.3333 0.5731  1 Nb 2.83, 9 Al 2.96-2.98, 3 Ir 3.06
4 Nb 0.3333 0.6667 0.0731  1 Nb 2.83, 9 Al 2.96-2.98, 3 Ir 3.06
5 Ir 0.0000 0.0000 0.5000  6 Al 2.52
6 Ir 0.0000 0.0000 0.0000  6 Al 2.52
7 Al 0.1696 0.8304 0.7500  2 Ir 2.52, 4 Al 2.56-2.65
8 Al 0.8304 0.6609 0.2500  2 Ir 2.52, 4 Al 2.56-2.65
9 Al 0.3391 0.1696 0.2500  2 Ir 2.52, 4 Al 2.56-2.65
10 Al 0.6609 0.8304 0.7500  2 Ir 2.52, 4 Al 2.56-2.65
11 Al 0.1696 0.3391 0.7500  2 Ir 2.52, 4 Al 2.56-2.65
12 Al 0.8304 0.1696 0.2500  2 Ir 2.52, 4 Al 2.56-2.65

Calculated values
SG: P6_3/mmc, No. 194
ΔE_f in eV/atom: -0.636
Calculated density in g/cm³: 8.1

Nb14AlIr | PBE | relaxed

Unit cell a=5.7040 b=5.7040 c=9.2241 alpha=90.00 beta=90.00 gamma=108.12
Last column: nearest neighbours and their distance in Å.
Positions (direct):
1 Nb 0.1250 0.8750 0.0000  8 Nb 2.85-2.91
2 Nb 0.6250 0.3750 0.0000  8 Nb 2.85
3 Nb 0.1251 0.3751 0.5000  4 Nb 2.80, 2 Al 2.85, 2 Ir 2.85
4 Nb 0.1250 0.3750 0.0000  8 Nb 2.85-2.90
5 Nb 0.6249 0.8749 0.5000  4 Nb 2.80, 2 Al 2.85, 2 Ir 2.85
6 Nb 0.6250 0.8750 0.0000  8 Nb 2.85-2.90
7 Nb 0.3828 0.1328 0.7460  1 Ir 2.79, 6 Nb 2.84-2.91, 1 Al 2.85
8 Nb 0.3828 0.1328 0.2540  1 Ir 2.79, 6 Nb 2.84-2.91, 1 Al 2.85
9 Nb 0.8672 0.6172 0.7460  1 Ir 2.79, 6 Nb 2.84-2.91, 1 Al 2.85
10 Nb 0.8672 0.6172 0.2540  1 Ir 2.79, 6 Nb 2.84-2.91, 1 Al 2.85
11 Nb 0.3696 0.6304 0.7427  8 Nb 2.80-2.90
12 Nb 0.3696 0.6304 0.2573  8 Nb 2.80-2.90
13 Nb 0.8805 0.1195 0.7427  8 Nb 2.80-2.90
14 Nb 0.8805 0.1195 0.2573  8 Nb 2.80-2.90
15 Al 0.1249 0.8751 0.5000  12 Nb 2.85-3.18
16 Ir 0.6250 0.3750 0.5000  8 Nb 2.79-2.85

Calculated values
SG: Cmmm, No. 65
ΔE_f in eV/atom: -0.140
Calculated density in g/cm³: 8.8

NbAl2Ir | PBE | relaxed

Unit cell a=2.9520 b=2.9520 c=7.0167 alpha=90.00 beta=90.00 gamma=90.00
Last column: nearest neighbours and their distance in Å.
Positions (direct):
1 Nb 0.5000 0.5000 0.5000  8 Al 2.87, 4 Nb 2.95
2 Ir 0.5000 0.5000 0.0000  8 Al 2.60
3 Al 0.0000 0.0000 0.7802  4 Ir 2.60, 4 Nb 2.87
4 Al 0.0000 0.0000 0.2198  4 Ir 2.60, 4 Nb 2.87

Calculated values
SG: P4/mmm, No. 123
ΔE_f in eV/atom: -0.645
Calculated density in g/cm³: 9.2